# LiBiF

LiBiF after structural relaxation (PBE, Alexandria via LeMat-Bulk).

Results
calculated total energy = -4.370 eV per atom
volume = 21.89 A^3/atom
energy relative to the elements, uncorrected = -1.815 eV/atom

a b c (Å): 9.705 9.705 4.040
angles (deg): 90.00 90.00 159.81
Atoms (fractional coordinates):
Li 0.236 0.764 0.500
Li 0.764 0.236 0.000
Bi 0.443 0.557 0.005
Bi 0.557 0.443 0.505
F 0.223 0.777 0.000
F 0.777 0.223 0.500